DFT (SCAN) results for a crystal of InSnBr3 relaxed with PBEsol.

Calculated values
Magnetization   0.00 μB per formula unit
Formation energy (no corrections)   -684 meV per atom
Space-group type   R3m, No. 160

```
InSnBr3
1.0
-3.803 4.101 1.464
-4.421 -3.724 0.138
0.632 -1.008 5.658
Sn Br In
1 3 1
direct
0.514 0.514 0.514 Sn
0.534 0.018 0.534 Br
0.018 0.534 0.534 Br
0.534 0.534 0.018 Br
0.898 0.898 0.898 In
```